[1]
# CrFe2Ru

Crystalline CrFe2Ru at its relaxed geometry (PBE, Alexandria via LeMat-Bulk).

Geometry as POSCAR:
```
CrFe2Ru
1.0
-0.9049 -0.1556 -2.4005
3.1207 -1.4973 -1.0793
-1.8777 -4.6405 1.0086
Cr Fe Ru
1 2 1
direct
0.5000 0.5000 0.7500 Cr
0.0000 0.0000 0.9947 Fe
0.0000 0.0000 0.5053 Fe
0.5000 0.5000 0.2500 Ru
```

Calculated values
spin magnetization	1.12	μB per formula unit
calculated total energy	-8.825	eV per atom
formation enthalpy at 0 K	131.3	meV per atom

=====

[2]
# Li2Ce3Ni2As4

Crystalline Li2Ce3Ni2As4 at its relaxed geometry (PBE, Alexandria via LeMat-Bulk).

Geometry as POSCAR:
```
Li2Ce3Ni2As4
1.0
4.1724 0.0000 0.0000
-2.0862 3.6134 0.0000
0.0000 0.0000 14.8172
Li Ce Ni As
2 3 2 4
direct
0.6667 0.3333 0.4427 Li
0.3333 0.6667 0.5573 Li
0.0000 0.0000 0.7338 Ce
0.0000 0.0000 0.0000 Ce
0.0000 0.0000 0.2662 Ce
0.6667 0.3333 0.8717 Ni
0.3333 0.6667 0.1283 Ni
0.6667 0.3333 0.1336 As
0.3333 0.6667 0.8664 As
0.6667 0.3333 0.6244 As
0.3333 0.6667 0.3756 As
```

Calculated values
spin magnetization	2.07	μB per formula unit
calculated total energy	-5.705	eV per atom
formation enthalpy at 0 K	-996.3	meV per atom